Here is an optimized crystal structure of Rb2TbYO4 from Alexandria. Energies are from PBE.

a = 6.1075 Å, b = 3.5262 Å, c = 6.8756 Å
α = 90.00°, β = 107.21°, γ = 90.00°
Sites, in units of the cell vectors:
Rb (0.0000, 0.0000, 0.0000)
Rb (0.5000, 0.5000, 0.0000)
Tb (0.0000, 0.5000, 0.5000)
Y (0.5000, 0.0000, 0.5000)
O (0.2258, 0.0000, 0.6760)
O (0.2753, 0.5000, 0.3240)
O (0.7247, 0.5000, 0.6760)
O (0.7742, 0.0000, 0.3240)

Space-group type: No. 10
Formation energy (no corrections) in eV/atom: -2.679
VASP energy in eV/atom: -6.7872
Spin magnetization in μB per formula unit: 0.000
Density of states at the Fermi level in states/eV per atom: 0.00



Here is an optimized crystal structure of RbTb2ZnO5 from Alexandria. Energies are from PBE.

a = 7.4815 Å, b = 7.4815 Å, c = 7.4815 Å
α = 127.40°, β = 127.40°, γ = 77.61°
Sites, in units of the cell vectors:
Rb (0.2500, 0.2500, 0.0000)
Rb (0.7500, 0.7500, 0.0000)
Tb (0.1724, 0.6724, 0.8448)
Tb (0.3276, 0.1724, 0.5000)
Tb (0.6724, 0.8276, 0.5000)
Tb (0.8276, 0.3276, 0.1552)
Zn (0.2500, 0.7500, 0.5000)
Zn (0.7500, 0.2500, 0.5000)
O (0.0000, 0.0000, 0.0000)
O (0.0172, 0.2408, 0.5000)
O (0.2408, 0.7408, 0.2235)
O (0.2592, 0.4828, 0.5000)
O (0.4828, 0.9828, 0.2235)
O (0.5000, 0.5000, 0.0000)
O (0.5172, 0.0172, 0.7765)
O (0.7408, 0.5172, 0.5000)
O (0.7592, 0.2592, 0.7765)
O (0.9828, 0.7592, 0.5000)

Space-group type: No. 140
Formation energy (no corrections) in eV/atom: -2.389
VASP energy in eV/atom: -6.4218
Spin magnetization in μB per formula unit: 0.974
Density of states at the Fermi level in states/eV per atom: 0.54



Here is an optimized crystal structure of Rb2TbZn2O4 from Alexandria. Energies are from PBE.

a = 7.4012 Å, b = 7.4012 Å, c = 6.9250 Å
α = 108.17°, β = 108.17°, γ = 26.69°
Sites, in units of the cell vectors:
Rb (0.1276, 0.1276, 0.0566)
Rb (0.8724, 0.8724, 0.9434)
Tb (0.0000, 0.0000, 0.5000)
Zn (0.3187, 0.3187, 0.4653)
Zn (0.6813, 0.6813, 0.5347)
O (0.1695, 0.1695, 0.6889)
O (0.4564, 0.4564, 0.6790)
O (0.5436, 0.5436, 0.3210)
O (0.8305, 0.8305, 0.3111)

Space-group type: No. 12
Formation energy (no corrections) in eV/atom: -1.727
VASP energy in eV/atom: -4.9430
Spin magnetization in μB per formula unit: 0.000
Density of states at the Fermi level in states/eV per atom: 0.21



Here is an optimized crystal structure of RbTc3O12 from Alexandria. Energies are from PBE.

a = 12.7684 Å, b = 12.7684 Å, c = 12.7684 Å
α = 41.11°, β = 41.11°, γ = 41.11°
Sites, in units of the cell vectors:
Rb (0.0000, 0.0000, 0.0000)
Rb (0.5000, 0.5000, 0.5000)
Tc (0.0709, 0.4103, 0.7144)
Tc (0.2144, 0.9103, 0.5709)
Tc (0.4103, 0.7144, 0.0709)
Tc (0.5709, 0.2144, 0.9103)
Tc (0.7144, 0.0709, 0.4103)
Tc (0.9103, 0.5709, 0.2144)
O (0.1106, 0.1245, 0.4337)
O (0.1245, 0.4337, 0.1106)
O (0.1439, 0.7707, 0.6657)
O (0.1657, 0.2707, 0.6439)
O (0.1675, 0.9182, 0.7328)
O (0.2328, 0.4182, 0.6675)
O (0.2707, 0.6439, 0.1657)
O (0.3324, 0.9424, 0.9372)
O (0.4182, 0.6675, 0.2328)
O (0.4337, 0.1106, 0.1245)
O (0.4372, 0.4424, 0.8324)
O (0.4424, 0.8324, 0.4372)
O (0.6106, 0.9337, 0.6245)
O (0.6245, 0.6106, 0.9337)
O (0.6439, 0.1657, 0.2707)
O (0.6657, 0.1439, 0.7707)
O (0.6675, 0.2328, 0.4182)
O (0.7328, 0.1675, 0.9182)
O (0.7707, 0.6657, 0.1439)
O (0.8324, 0.4372, 0.4424)
O (0.9182, 0.7328, 0.1675)
O (0.9337, 0.6245, 0.6106)
O (0.9372, 0.3324, 0.9424)
O (0.9424, 0.9372, 0.3324)

Space-group type: No. 161
Formation energy (no corrections) in eV/atom: -1.153
VASP energy in eV/atom: -6.8759
Spin magnetization in μB per formula unit: 2.176
Density of states at the Fermi level in states/eV per atom: 0.62



Here is an optimized crystal structure of RbTcO3 from Alexandria. Energies are from PBE.

a = 10.6403 Å, b = 10.6403 Å, c = 10.6403 Å
α = 159.21°, β = 158.06°, γ = 30.40°
Sites, in units of the cell vectors:
Rb (0.4111, 0.1611, 0.2500)
Rb (0.5889, 0.8389, 0.7500)
Tc (0.1960, 0.4460, 0.7500)
Tc (0.8040, 0.5540, 0.2500)
O (0.1053, 0.3553, 0.7500)
O (0.1987, 0.9487, 0.2500)
O (0.3004, 0.5504, 0.7500)
O (0.6996, 0.4496, 0.2500)
O (0.8013, 0.0513, 0.7500)
O (0.8947, 0.6447, 0.2500)

Space-group type: No. 74
Formation energy (no corrections) in eV/atom: -1.418
VASP energy in eV/atom: -6.6596
Spin magnetization in μB per formula unit: 0.000
Density of states at the Fermi level in states/eV per atom: 0.38



Here is an optimized crystal structure of RbTcO3 from Alexandria. Energies are from PBE.

a = 3.1112 Å, b = 7.5477 Å, c = 7.6066 Å
α = 73.10°, β = 78.24°, γ = 78.14°
Sites, in units of the cell vectors:
Rb (0.0483, 0.2455, 0.1590)
Rb (0.9517, 0.7545, 0.8410)
Tc (0.2509, 0.3317, 0.6664)
Tc (0.7491, 0.6683, 0.3336)
O (0.1759, 0.6352, 0.5134)
O (0.3292, 0.0892, 0.7519)
O (0.3570, 0.5876, 0.1979)
O (0.6430, 0.4124, 0.8021)
O (0.6708, 0.9108, 0.2481)
O (0.8241, 0.3648, 0.4866)

Space-group type: No. 2
Formation energy (no corrections) in eV/atom: -1.473
VASP energy in eV/atom: -6.7143
Spin magnetization in μB per formula unit: 0.000



Here is an optimized crystal structure of RbTcO3 from Alexandria. Energies are from PBE.

a = 5.1599 Å, b = 6.3368 Å, c = 6.9053 Å
α = 115.04°, β = 98.34°, γ = 92.42°
Sites, in units of the cell vectors:
Rb (0.2479, 0.3190, 0.1751)
Rb (0.7521, 0.6810, 0.8249)
Tc (0.2269, 0.9735, 0.5544)
Tc (0.7731, 0.0265, 0.4456)
O (0.0108, 0.7758, 0.2918)
O (0.2560, 0.8887, 0.7710)
O (0.4634, 0.2147, 0.5643)
O (0.5366, 0.7853, 0.4357)
O (0.7440, 0.1113, 0.2290)
O (0.9892, 0.2242, 0.7082)

Space-group type: No. 2
Formation energy (no corrections) in eV/atom: -1.614
VASP energy in eV/atom: -6.8557
Spin magnetization in μB per formula unit: 0.000
Density of states at the Fermi level in states/eV per atom: 0.00



Here is an optimized crystal structure of RbTcO3 from Alexandria. Energies are from PBE.

a = 6.9595 Å, b = 6.9595 Å, c = 6.9595 Å
α = 46.40°, β = 46.40°, γ = 46.40°
Sites, in units of the cell vectors:
Rb (0.1256, 0.1256, 0.1256)
Rb (0.8744, 0.8744, 0.8744)
Tc (0.3339, 0.3339, 0.3339)
Tc (0.6661, 0.6661, 0.6661)
O (0.0615, 0.5639, 0.5639)
O (0.4361, 0.4361, 0.9385)
O (0.4361, 0.9385, 0.4361)
O (0.5639, 0.0615, 0.5639)
O (0.5639, 0.5639, 0.0615)
O (0.9385, 0.4361, 0.4361)

Space-group type: No. 166
Formation energy (no corrections) in eV/atom: -1.564
VASP energy in eV/atom: -6.8059
Spin magnetization in μB per formula unit: 0.000
Density of states at the Fermi level in states/eV per atom: 0.00



> What is the formation energy (no corrections) in the fourth record?

-1.153 eV/atom



> Which formula does entry 2 have?

RbTb2ZnO5



> What is the spin magnetization in the seventh record?

0.000 μB per formula unit